The following is a DFT calculation (PBE) of a relaxed structure of LiCoGe2Au.

Cell lengths 4.960, 4.960, 4.925 Å; angles 90.00, 90.00, 90.00 degrees
Sites, in units of the cell vectors:
1 Li 0.000 0.000 0.000
2 Co 0.500 0.500 0.000
3 Ge 0.000 0.500 0.500
4 Ge 0.500 0.000 0.500
5 Au 0.500 0.500 0.500

## Properties
SG	P4/mmm (123)
ΔH_f (0 K)	0.77	eV/atom


The following is a DFT calculation (PBE) of a relaxed structure of Pr2CdGa2.

Cell lengths 7.284, 7.284, 4.394 Å; angles 90.00, 90.00, 146.44 degrees
Sites, in units of the cell vectors:
1 Pr 0.132 0.868 0.000
2 Pr 0.868 0.132 0.000
3 Cd 0.500 0.500 0.500
4 Ga 0.302 0.698 0.500
5 Ga 0.698 0.302 0.500

## Properties
SG	Cmmm (65)
ΔH_f (0 K)	-0.53	eV/atom


The following is a DFT calculation (PBE) of a relaxed structure of CsTiS3.

Cell lengths 4.904, 4.904, 4.904 Å; angles 90.00, 90.00, 90.00 degrees
Sites, in units of the cell vectors:
1 Cs 0.000 0.000 0.000
2 Ti 0.500 0.500 0.500
3 S 0.000 0.500 0.500
4 S 0.500 0.000 0.500
5 S 0.500 0.500 0.000

## Properties
SG	Pm-3m (221)
formation energy from raw total energies	-0.9569	eV/atom


The following is a DFT calculation (PBE) of a relaxed structure of DyHf2Ga6.

Cell lengths 7.560, 7.560, 7.560 Å; angles 148.21, 127.44, 62.75 degrees
Sites, in units of the cell vectors:
1 Dy 0.000 0.000 0.000
2 Hf 0.381 0.881 0.500
3 Hf 0.619 0.119 0.500
4 Ga 0.014 0.309 0.704
5 Ga 0.311 0.500 0.811
6 Ga 0.395 0.691 0.704
7 Ga 0.605 0.309 0.296
8 Ga 0.689 0.500 0.189
9 Ga 0.986 0.691 0.296

## Properties
SG	Immm (71)
ΔH_f (0 K)	-0.38	eV/atom


no.,Fermi-level density of states (states/eV/cell),total moment (Bohr magnetons per cell)
1,6.43,1.8
2,4.41,0.0
3,3.41,0.0
4,4.11,0.0